(1)
VASP calculation (PBE-GGA) on an optimized crystal structure of Ba3InMo.

Computed properties:
Offset from the most stable computed form in kJ per mole of atoms: 0.00
Space group: Pm-3m, No. 221
Volume in Å³/cell: 209.6

Lattice parameters (Å, degrees): 5.940 5.940 5.940 90.00 90.00 90.00
Element x y z (fractional)
Mo 0.000 0.000 0.000
Ba 0.000 0.500 0.000
Ba 0.000 0.000 0.500
Ba 0.500 0.000 0.000
In 0.500 0.500 0.500


(2)
VASP calculation (PBE-GGA) on an optimized crystal structure of Ba2InMo.

Computed properties:
Offset from the most stable computed form in kJ per mole of atoms: 18.34
Space group: Fm-3m, No. 225
Volume in Å³/cell: 144.1

Lattice parameters (Å, degrees): 5.885 5.885 5.885 60.00 60.00 60.00
Element x y z (fractional)
Mo 0.000 0.000 0.000
Ba 0.250 0.250 0.250
Ba 0.750 0.750 0.750
In 0.500 0.500 0.500


(3)
VASP calculation (PBE-GGA) on an optimized crystal structure of Ba2InMo.

Computed properties:
Offset from the most stable computed form in kJ per mole of atoms: 8.13
Space group: Cm, No. 8
Volume in Å³/cell: 138.9

Lattice parameters (Å, degrees): 6.778 6.778 5.708 65.15 65.15 36.20
Element x y z (fractional)
Ba 0.974 0.974 0.026
Ba 0.773 0.773 0.727
In 0.549 0.549 0.452
Mo 0.204 0.204 0.295


(4)
VASP calculation (PBE-GGA) on an optimized crystal structure of BaInMo2.

Computed properties:
Offset from the most stable computed form in kJ per mole of atoms: 64.47
Space group: P4/mmm, No. 123
Volume in Å³/cell: 88.6

Lattice parameters (Å, degrees): 2.944 2.944 10.219 90.00 90.00 90.00
Element x y z (fractional)
Ba 0.500 0.500 0.250
In 0.500 0.500 0.750
Mo 0.000 0.000 0.961
Mo 0.000 0.000 0.539


(5)
VASP calculation (PBE-GGA) on an optimized crystal structure of Ba2NaInMo.

Computed properties:
Space group: P4/mmm, No. 123
Volume in Å³/cell: 193.7

Lattice parameters (Å, degrees): 5.923 5.520 5.923 90.00 90.00 90.00
Element x y z (fractional)
Na 0.500 0.500 0.500
Mo 0.000 0.000 0.000
Ba 0.000 0.000 0.500
Ba 0.500 0.000 0.000
In 0.000 0.500 0.000


Number 1: ΔE_f 0.608 eV per atom, total moment 0.00 μB per cell. Number 2: ΔE_f 0.626 eV per atom, total moment 3.22 μB per cell. Number 3: ΔE_f 0.520 eV per atom, total moment 2.14 μB per cell. Number 4: ΔE_f 1.022 eV per atom, total moment 0.00 μB per cell. Number 5: ΔE_f 0.482 eV per atom, total moment 0.35 μB per cell.